Co2OsW | PBE | relaxed

SG: F-43m
Crystal system: cubic
Energy of formation from the pure elements: 214 meV per atom

a = 4.222 Å, b = 4.222 Å, c = 4.222 Å
α = 60.00°, β = 60.00°, γ = 60.00°
Sites, in units of the cell vectors:
Co  0.000  0.000  0.000
Co  0.250  0.250  0.250
Os  0.750  0.750  0.750
W  0.500  0.500  0.500